[1]
The following is a DFT calculation (PBE) of an optimized crystal structure of Sm6HoTl2.

## Properties
Energy relative to the lowest polymorph listed for this composition ... 0.00 kcal/mol of atoms
Crystal system ... monoclinic
ΔH_f (0 K) ... -1.33 eV per formula unit

Unit cell a=13.0496 b=3.8011 c=12.0712 alpha=90.00 beta=108.04 gamma=90.00
Space group C2/m (No. 12)
Symmetry-distinct sites (fractional):
Sm1 0.0150 0.0000 0.3436 x4
Sm2 0.1838 0.5000 0.8764 x4
Sm3 0.1928 0.5000 0.5892 x4
Ho1 0.0000 0.0000 0.0000 x2
Tl1 0.1369 0.5000 0.1989 x4

=====

[2]
The following is a DFT calculation (PBE) of an optimized crystal structure of BaFeOs.

## Properties
Energy relative to the lowest polymorph listed for this composition ... 29.49 kcal/mol of atoms
Crystal system ... cubic
ΔH_f (0 K) ... 4.87 eV per formula unit

Unit cell a=6.4451 b=6.4451 c=6.4451 alpha=90.00 beta=90.00 gamma=90.00
Space group F-43m (No. 216)
Symmetry-distinct sites (fractional):
Ba1 0.0000 0.0000 0.0000 x4
Fe1 0.2500 0.2500 0.7500 x4
Os1 0.0000 0.0000 0.5000 x4

=====

[3]
The following is a DFT calculation (PBE) of an optimized crystal structure of Pr2ErSi.

## Properties
E_form (uncorrected) ... -6 kJ per mole of atoms
Crystal system ... trigonal

Unit cell a=3.8666 b=3.8666 c=29.6708 alpha=90.00 beta=90.00 gamma=120.00
Space group R-3m (No. 166, hexagonal axes)
Symmetry-distinct sites (fractional):
Pr1 0.0000 0.0000 0.2318 x6
Er1 0.0000 0.0000 0.0000 x3
Si1 0.0000 0.0000 0.5000 x3